1.
Below is a geometry-optimized Na3Zr3CoSe8 structure, with properties calculated at the PBE level.

Values from the calculation:
**Space-group type**: C2/m

a = 7.5933 Å, b = 7.5995 Å, c = 8.4510 Å
α = 116.77°, β = 90.00°, γ = 119.97°
With the nearest neighbours (Å) after each atom.
Sites, in units of the cell vectors:
Na: 0.0000 0.0000 0.0000  6 Se 2.96-3.00
Na: 0.0000 0.5000 0.0000  6 Se 2.96-3.00
Na: 0.5000 0.5000 0.0000  6 Se 2.96-3.00
Zr: 0.5000 0.0000 0.5000  6 Se 2.71-2.73
Zr: 0.5000 0.5000 0.5000  6 Se 2.71-2.73
Zr: 0.0000 0.5000 0.5000  6 Se 2.71-2.73
Co: 0.0000 0.0000 0.5000  6 Se 2.57
Se: 0.2581 0.5162 0.2744  3 Zr 2.73, 3 Na 2.96
Se: 0.7419 0.4838 0.7256  3 Zr 2.73, 3 Na 2.96
Se: 0.7723 0.5446 0.2911  1 Co 2.57, 2 Zr 2.71
Se: 0.2277 0.4554 0.7089  1 Co 2.57, 2 Zr 2.71
Se: 0.7720 0.0186 0.2907  1 Co 2.57, 2 Zr 2.71
Se: 0.2280 0.9814 0.7093  1 Co 2.57, 2 Zr 2.71
Se: 0.2466 0.0186 0.2907  1 Co 2.57, 2 Zr 2.71
Se: 0.7534 0.9814 0.7093  1 Co 2.57, 2 Zr 2.71

2.
Below is a geometry-optimized Na4Zr3CoSe8 structure, with properties calculated at the PBE level.

Values from the calculation:
**Space-group type**: R-3m

a = 7.7129 Å, b = 8.3569 Å, c = 7.7127 Å
α = 117.49°, β = 120.00°, γ = 90.00°
With the nearest neighbours (Å) after each atom.
Sites, in units of the cell vectors:
Na: 0.5000 0.0000 0.0000  6 Se 3.03
Na: 0.5000 0.0000 0.5000  6 Se 2.95-2.97
Na: 0.0000 0.0000 0.0000  6 Se 2.95-2.97
Na: 0.0000 0.0000 0.5000  6 Se 2.95-2.97
Zr: 0.5000 0.5000 0.0000  6 Se 2.73-2.74
Zr: 0.5000 0.5000 0.5000  6 Se 2.73-2.74
Zr: 0.0000 0.5000 0.5000  6 Se 2.73-2.74
Co: 0.0000 0.5000 0.0000  6 Se 2.66
Se: 0.2352 0.7173 0.9821  1 Co 2.66, 2 Zr 2.73, 2 Na 2.97
Se: 0.2353 0.7174 0.4706  1 Co 2.66, 2 Zr 2.73, 2 Na 2.97
Se: 0.2578 0.2733 0.5155  3 Zr 2.74, 3 Na 2.95
Se: 0.7469 0.7173 0.9821  1 Co 2.66, 2 Zr 2.73, 2 Na 2.97
Se: 0.2531 0.2827 0.0179  1 Co 2.66, 2 Zr 2.73, 2 Na 2.97
Se: 0.7422 0.7267 0.4845  3 Zr 2.74, 3 Na 2.95
Se: 0.7647 0.2826 0.5294  1 Co 2.66, 2 Zr 2.73, 2 Na 2.97
Se: 0.7648 0.2827 0.0179  1 Co 2.66, 2 Zr 2.73, 2 Na 2.97

3.
Below is a geometry-optimized Na3CoSi structure, with properties calculated at the PBE level.

Values from the calculation:
**Space-group type**: Pm-3m
**Energy above the lowest structure with this stoichiometry**: 0.000 eV/atom

a = 5.5628 Å, b = 5.5628 Å, c = 5.5628 Å
α = 90.00°, β = 90.00°, γ = 90.00°
With the nearest neighbours (Å) after each atom.
Sites, in units of the cell vectors:
Na: 0.0000 0.5000 0.0000  2 Si 2.78
Na: 0.0000 0.0000 0.5000  2 Si 2.78
Na: 0.5000 0.0000 0.0000  2 Si 2.78
Si: 0.0000 0.0000 0.0000  6 Na 2.78
Co: 0.5000 0.5000 0.5000  12 Na 3.93

4.
Below is a geometry-optimized NaCo2Si2 structure, with properties calculated at the PBE level.

Values from the calculation:
**Space-group type**: I4/mmm

a = 3.8489 Å, b = 3.8489 Å, c = 5.6161 Å
α = 69.96°, β = 69.96°, γ = 90.00°
With the nearest neighbours (Å) after each atom.
Sites, in units of the cell vectors:
Na: 0.0000 0.0000 0.0000  8 Si 3.00, 8 Co 3.12
Si: 0.3705 0.3705 0.2591  4 Co 2.26
Si: 0.6295 0.6295 0.7409  4 Co 2.26
Co: 0.7500 0.2500 0.5000  4 Si 2.26
Co: 0.2500 0.7500 0.5000  4 Si 2.26

5.
Below is a geometry-optimized NaCo2Si structure, with properties calculated at the PBE level.

Values from the calculation:
**Space-group type**: I-42d

a = 4.3120 Å, b = 4.3120 Å, c = 8.5103 Å
α = 75.32°, β = 75.32°, γ = 90.00°
With the nearest neighbours (Å) after each atom.
Sites, in units of the cell vectors:
Na: 0.5000 0.5000 0.0000  4 Co 2.91, 4 Si 3.05
Na: 0.2500 0.7500 0.5000  4 Co 2.91, 4 Si 3.05
Si: 0.0000 0.0000 0.0000  4 Co 2.28
Si: 0.7500 0.2500 0.5000  4 Co 2.28
Co: 0.9509 0.1250 0.2500  2 Co 2.25, 2 Si 2.28
Co: 0.7991 0.6250 0.2500  2 Co 2.25, 2 Si 2.28
Co: 0.3750 0.0491 0.7500  2 Co 2.25, 2 Si 2.28
Co: 0.8750 0.2009 0.7500  2 Co 2.25, 2 Si 2.28

6.
Below is a geometry-optimized NaCoSi3 structure, with properties calculated at the PBE level.

Values from the calculation:
**Space-group type**: Pm-3m

a = 4.4434 Å, b = 4.4434 Å, c = 4.4434 Å
α = 90.00°, β = 90.00°, γ = 90.00°
With the nearest neighbours (Å) after each atom.
Sites, in units of the cell vectors:
Na: 0.5000 0.5000 0.5000  12 Si 3.14
Si: 0.0000 0.5000 0.0000  2 Co 2.22
Si: 0.0000 0.0000 0.5000  2 Co 2.22
Si: 0.5000 0.0000 0.0000  2 Co 2.22
Co: 0.0000 0.0000 0.0000  6 Si 2.22

7.
Below is a geometry-optimized Na3CoSi structure, with properties calculated at the PBE level.

Values from the calculation:
**Space-group type**: Pm-3m
**Energy above the lowest structure with this stoichiometry**: 0.058 eV/atom

a = 5.2528 Å, b = 5.2528 Å, c = 5.2528 Å
α = 90.00°, β = 90.00°, γ = 90.00°
With the nearest neighbours (Å) after each atom.
Sites, in units of the cell vectors:
Na: 0.0000 0.5000 0.0000  2 Co 2.63
Na: 0.0000 0.0000 0.5000  2 Co 2.63
Na: 0.5000 0.0000 0.0000  2 Co 2.63
Si: 0.5000 0.5000 0.5000  12 Na 3.71
Co: 0.0000 0.0000 0.0000  6 Na 2.63

8.
Below is a geometry-optimized NaCoSi2W structure, with properties calculated at the PBE level.

Values from the calculation:
**Space-group type**: P4/mmm

a = 4.3051 Å, b = 4.5711 Å, c = 4.3051 Å
α = 90.00°, β = 90.00°, γ = 90.00°
With the nearest neighbours (Å) after each atom.
Sites, in units of the cell vectors:
Na: 0.0000 0.5000 0.0000  2 Co 2.29
Si: 0.0000 0.0000 0.5000  2 Co 2.15
Si: 0.5000 0.0000 0.0000  2 Co 2.15
Co: 0.0000 0.0000 0.0000  4 Si 2.15, 2 Na 2.29
W: 0.5000 0.5000 0.5000  4 Na 3.04, 8 Si 3.14

How do the records compare in calculated density? In the order shown, they have 4.75, 4.81, 1.50, 4.50, 3.80, 3.15, 1.79, 6.31 g cm⁻³.
How do the records compare in energy relative to the elements, uncorrected? In the order shown, they have -1106, -1125, 1033, -276, 513, 289, 1091, 1096 meV/atom.
How do the records compare in calculated volume? In the order shown, they have 24.06, 22.77, 34.43, 14.55, 18.47, 17.55, 28.99, 16.94 Å³/atom.